1.
PmTlTc: optimized geometry, PBE-GGA.

Its uncorrected energy is -5.74 eV per atom.

The structure belongs to space group P4/nmm (No. 129, origin choice 2); the cell edges are 3.620, 3.620 and 11.549 Å and the angles 90.00°, 90.00° and 90.00°. Symmetry generates all atoms from Pm at (0.250, 0.250, 0.218), Tl at (0.250, 0.250, 0.586) and Tc at (0.250, 0.750, 0.000).

2.
HoCd3Ag4: optimized geometry, PBE-GGA.

Its uncorrected energy is -2.47 eV per atom.

The structure belongs to space group Pmma (No. 51); the cell edges are 9.638, 7.067 and 4.818 Å and the angles 90.00°, 90.00° and 90.00°. Symmetry generates all atoms from Ho at (0.000, 0.000, 0.000), Cd at (0.000, 0.500, 0.000), Cd at (0.250, 0.000, 0.495), Cd at (0.250, 0.500, 0.493), Ag at (0.000, 0.261, 0.500) and Ag at (0.250, 0.261, 0.993).

3.
LaNd4S7: optimized geometry, PBE-GGA.

Its uncorrected energy is -6.47 eV per atom. The calculation puts the uncorrected formation energy at -24.8 eV/f.u.

The structure belongs to space group Cm (No. 8); the cell edges are 13.508, 3.973 and 11.987 Å and the angles 90.00°, 104.90° and 90.00°. Symmetry generates all atoms from La at (0.000, 0.000, 0.000), Nd at (0.112, 0.000, 0.421), Nd at (0.223, 0.000, 0.838), Nd at (0.311, 0.500, 0.233), Nd at (0.412, 0.000, 0.609), S at (0.067, 0.000, 0.635), S at (0.113, 0.500, 0.918), S at (0.157, 0.000, 0.207), S at (0.271, 0.500, 0.471), S at (0.350, 0.500, 0.769), S at (0.369, 0.000, 0.069) and S at (0.453, 0.000, 0.370).